An optimized crystal structure of TlMo2Pb, computed with PBE-GGA.

```
data_TlMo2Pb
_cell_length_a 5.560
_cell_length_b 5.560
_cell_length_c 5.560
_cell_angle_alpha 144.30
_cell_angle_beta 125.90
_cell_angle_gamma 66.52
_space_group_name_H-M_alt 'P 1'
_space_group_IT_number 1
_space_group_name_Hall 'P 1'
loop_
_atom_site_label
_atom_site_type_symbol
_atom_site_fract_x
_atom_site_fract_y
_atom_site_fract_z
Mo1 Mo 0.002 0.002 0.000
Mo2 Mo 0.498 0.498 0.000
Pb1 Pb 0.250 0.750 0.500
Tl1 Tl 0.750 0.250 0.500
```

Results
- relative energy among the computed polymorphs (meV per atom) = 495
- electronic total energy (eV/atom) = -6.028
- SG = Immm, No. 71
- formation energy from the elements (eV per atom) = 0.91
- V (A^3/atom) = 20.034
- DOS(E_F) (states/eV/cell) = 4.33